1.
The following is a DFT calculation (GGA-PBE) of a relaxed Er2Mg2Ni15 crystal.

Computed properties:
energy relative to the elements: -0.24 eV/atom
theoretical density: 8.5 g/cm3

a = 8.3467 Å, b = 8.3467 Å, c = 12.3015 Å
α = 90.00°, β = 90.00°, γ = 120.00°
Space group R-3m (No. 166, hexagonal axes)
Symmetry-distinct sites (fractional):
Er1 0.0000 0.0000 0.1482
Mg1 0.0000 0.0000 0.3967
Ni1 0.0000 0.3044 0.5000
Ni2 0.0000 0.5000 0.0000
Ni3 0.0041 0.5021 0.6557

2.
The following is a DFT calculation (GGA-PBE) of a relaxed ErMgNi crystal.

Computed properties:
energy relative to the elements: -0.17 eV/atom
theoretical density: 6.3 g/cm3

a = 6.4058 Å, b = 6.4058 Å, c = 6.4058 Å
α = 90.00°, β = 90.00°, γ = 90.00°
Space group F-43m (No. 216)
Symmetry-distinct sites (fractional):
Er1 0.0000 0.0000 0.0000
Mg1 0.0000 0.0000 0.5000
Ni1 0.2500 0.2500 0.2500

3.
The following is a DFT calculation (GGA-PBE) of a relaxed Er7Mg2Ni2 crystal.

Computed properties:
energy relative to the elements: -0.05 eV/atom
theoretical density: 7.3 g/cm3

a = 10.9717 Å, b = 7.7889 Å, c = 7.0748 Å
α = 90.00°, β = 90.08°, γ = 90.00°
Space group C2/m (No. 12)
Symmetry-distinct sites (fractional):
Er1 0.0000 0.0000 0.0000
Er2 0.0002 0.5000 0.2322
Er3 0.2503 0.2501 0.2428
Mg1 0.0000 0.1751 0.5000
Ni1 0.2063 0.5000 0.0000

4.
The following is a DFT calculation (GGA-PBE) of a relaxed Er5Mg4Ni2 crystal.

Computed properties:
energy relative to the elements: -0.24 eV/atom
theoretical density: 6.8 g/cm3

a = 8.0349 Å, b = 18.3040 Å, c = 3.5138 Å
α = 90.00°, β = 90.00°, γ = 90.00°
Space group Pbam (No. 55)
Symmetry-distinct sites (fractional):
Er1 0.0000 0.0000 0.0000
Er2 0.1256 0.4077 0.0000
Er3 0.2322 0.7226 0.0000
Mg1 0.0496 0.8489 0.5000
Mg2 0.1997 0.5672 0.5000
Ni1 0.0423 0.3007 0.5000

5.
The following is a DFT calculation (GGA-PBE) of a relaxed Er4MgNi crystal.

Computed properties:
energy relative to the elements: 0.09 eV/atom
theoretical density: 7.2 g/cm3

a = 4.7140 Å, b = 4.7140 Å, c = 7.8181 Å
α = 90.00°, β = 90.00°, γ = 90.00°
Space group P4/mmm (No. 123)
Symmetry-distinct sites (fractional):
Er1 0.0000 0.5000 0.2041
Mg1 0.0000 0.0000 0.5000
Ni1 0.5000 0.5000 0.0000

6.
The following is a DFT calculation (GGA-PBE) of a relaxed Er5MgNi crystal.

Computed properties:
energy relative to the elements: 0.09 eV/atom
theoretical density: 7.6 g/cm3

a = 9.7331 Å, b = 9.2952 Å, c = 9.5629 Å
α = 90.00°, β = 112.27°, γ = 90.00°
Space group C2/c (No. 15)
Symmetry-distinct sites (fractional):
Er1 0.0000 0.1118 0.2500
Er2 0.0990 0.2479 0.6488
Er3 0.2409 0.0640 0.0076
Mg1 0.0000 0.4238 0.2500
Ni1 0.2500 0.2500 0.5000

7.
The following is a DFT calculation (GGA-PBE) of a relaxed ErMg3Ni2 crystal.

Computed properties:
energy relative to the elements: -0.19 eV/atom
theoretical density: 4.9 g/cm3

a = 14.5125 Å, b = 3.8664 Å, c = 10.3065 Å
α = 90.00°, β = 123.88°, γ = 90.00°
Space group C2/m (No. 12)
Symmetry-distinct sites (fractional):
Er1 0.1503 0.0000 0.2315
Mg1 0.0809 0.5000 0.9275
Mg2 0.0832 0.5000 0.4484
Mg3 0.1503 0.0000 0.7390
Ni1 0.2291 0.0000 0.0461
Ni2 0.2313 0.0000 0.5521

8.
The following is a DFT calculation (GGA-PBE) of a relaxed Er11Mg9Ni4 crystal.

Computed properties:
energy relative to the elements: -0.23 eV/atom
theoretical density: 6.7 g/cm3

a = 14.5122 Å, b = 22.0647 Å, c = 3.5603 Å
α = 90.00°, β = 90.00°, γ = 90.00°
Space group Cmmm (No. 65)
Symmetry-distinct sites (fractional):
Er1 0.0000 0.0000 0.0000
Er2 0.0000 0.1548 0.0000
Er3 0.0000 0.3734 0.0000
Er4 0.1865 0.5000 0.0000
Er5 0.2484 0.3337 0.0000
Mg1 0.0000 0.5000 0.5000
Mg2 0.1054 0.2592 0.5000
Mg3 0.1496 0.0703 0.5000
Ni1 0.1477 0.4010 0.5000

9.
The following is a DFT calculation (GGA-PBE) of a relaxed ErMg3Ni8 crystal.

Computed properties:
energy relative to the elements: -0.31 eV/atom
theoretical density: 7.2 g/cm3

a = 4.8834 Å, b = 4.8834 Å, c = 23.8743 Å
α = 90.00°, β = 90.00°, γ = 120.00°
Space group R3m (No. 160, hexagonal axes)
Symmetry-distinct sites (fractional):
Er1 0.0000 0.0000 0.0000
Mg1 0.0000 0.0000 0.1279
Mg2 0.0000 0.0000 0.4976
Mg3 0.0000 0.0000 0.6185
Ni1 0.0000 0.0000 0.3113
Ni2 0.0000 0.0000 0.8118
Ni3 0.0000 0.5000 0.0628
Ni4 0.1675 0.3351 0.8941

10.
The following is a DFT calculation (GGA-PBE) of a relaxed Er2MgNi crystal.

Computed properties:
energy relative to the elements: -0.27 eV/atom
theoretical density: 7.6 g/cm3

a = 3.4117 Å, b = 3.4117 Å, c = 7.8476 Å
α = 90.00°, β = 90.00°, γ = 90.00°
Space group P4/mmm (No. 123)
Symmetry-distinct sites (fractional):
Er1 0.0000 0.0000 0.2024
Mg1 0.5000 0.5000 0.5000
Ni1 0.5000 0.5000 0.0000

11.
The following is a DFT calculation (GGA-PBE) of a relaxed Er5MgNi4 crystal.

Computed properties:
energy relative to the elements: -0.36 eV/atom
theoretical density: 8.9 g/cm3

a = 3.3744 Å, b = 3.3744 Å, c = 17.8623 Å
α = 90.00°, β = 90.00°, γ = 90.00°
Space group P4/mmm (No. 123)
Symmetry-distinct sites (fractional):
Er1 0.0000 0.0000 0.0000
Er2 0.0000 0.0000 0.1860
Er3 0.0000 0.0000 0.3687
Mg1 0.5000 0.5000 0.5000
Ni1 0.5000 0.5000 0.0932
Ni2 0.5000 0.5000 0.2818

12.
The following is a DFT calculation (GGA-PBE) of a relaxed ErMgNi2P2 crystal.

Computed properties:
energy relative to the elements: -0.90 eV/atom
theoretical density: 6.6 g/cm3

a = 3.8389 Å, b = 3.8389 Å, c = 7.3395 Å
α = 90.00°, β = 90.00°, γ = 120.00°
Space group P-3m1 (No. 164)
Symmetry-distinct sites (fractional):
Er1 0.0000 0.0000 0.0000
Mg1 0.0000 0.0000 0.5000
Ni1 0.3333 0.6667 0.7270
P1 0.3333 0.6667 0.2524

13.
The following is a DFT calculation (GGA-PBE) of a relaxed ErMgNiRh crystal.

Computed properties:
energy relative to the elements: -0.52 eV/atom
theoretical density: 8.6 g/cm3

a = 6.4949 Å, b = 6.4949 Å, c = 6.4949 Å
α = 90.00°, β = 90.00°, γ = 90.00°
Space group F-43m (No. 216)
Symmetry-distinct sites (fractional):
Er1 0.0000 0.0000 0.0000
Mg1 0.0000 0.0000 0.5000
Ni1 0.2500 0.2500 0.2500
Rh1 0.2500 0.2500 0.7500

14.
The following is a DFT calculation (GGA-PBE) of a relaxed ErMgNiRu crystal.

Computed properties:
energy relative to the elements: -0.22 eV/atom
theoretical density: 8.7 g/cm3

a = 6.4598 Å, b = 6.4598 Å, c = 6.4598 Å
α = 90.00°, β = 90.00°, γ = 90.00°
Space group F-43m (No. 216)
Symmetry-distinct sites (fractional):
Er1 0.0000 0.0000 0.0000
Mg1 0.0000 0.0000 0.5000
Ni1 0.2500 0.2500 0.2500
Ru1 0.2500 0.2500 0.7500

15.
The following is a DFT calculation (GGA-PBE) of a relaxed SmErMgNi crystal.

Computed properties:
energy relative to the elements: -0.10 eV/atom
theoretical density: 7.2 g/cm3

a = 7.1857 Å, b = 7.1857 Å, c = 7.1857 Å
α = 90.00°, β = 90.00°, γ = 90.00°
Space group F-43m (No. 216)
Symmetry-distinct sites (fractional):
Sm1 0.0000 0.0000 0.0000
Er1 0.0000 0.0000 0.5000
Mg1 0.2500 0.2500 0.7500
Ni1 0.2500 0.2500 0.2500

16.
The following is a DFT calculation (GGA-PBE) of a relaxed TbErMgNi crystal.

Computed properties:
energy relative to the elements: -0.26 eV/atom
theoretical density: 7.3 g/cm3

a = 3.4348 Å, b = 3.4348 Å, c = 7.8818 Å
α = 90.00°, β = 90.00°, γ = 90.00°
Space group P4mm (No. 99)
Symmetry-distinct sites (fractional):
Tb1 0.0000 0.0000 0.0000
Er1 0.0000 0.0000 0.5944
Mg1 0.5000 0.5000 0.3006
Ni1 0.5000 0.5000 0.7910

17.
The following is a DFT calculation (GGA-PBE) of a relaxed TbErMgNi crystal.

Computed properties:
energy relative to the elements: -0.12 eV/atom
theoretical density: 7.5 g/cm3

a = 7.1225 Å, b = 7.1225 Å, c = 7.1225 Å
α = 90.00°, β = 90.00°, γ = 90.00°
Space group F-43m (No. 216)
Symmetry-distinct sites (fractional):
Tb1 0.0000 0.0000 0.0000
Er1 0.0000 0.0000 0.5000
Mg1 0.2500 0.2500 0.2500
Ni1 0.2500 0.2500 0.7500

18.
The following is a DFT calculation (GGA-PBE) of a relaxed ErTmMgNi crystal.

Computed properties:
energy relative to the elements: -0.13 eV/atom
theoretical density: 7.9 g/cm3

a = 7.0555 Å, b = 7.0555 Å, c = 7.0555 Å
α = 90.00°, β = 90.00°, γ = 90.00°
Space group F-43m (No. 216)
Symmetry-distinct sites (fractional):
Er1 0.0000 0.0000 0.0000
Tm1 0.0000 0.0000 0.5000
Mg1 0.2500 0.2500 0.7500
Ni1 0.2500 0.2500 0.2500

19.
The following is a DFT calculation (GGA-PBE) of a relaxed ErTmMgNi crystal.

Computed properties:
energy relative to the elements: -0.28 eV/atom
theoretical density: 7.7 g/cm3

a = 3.4030 Å, b = 3.4030 Å, c = 7.8343 Å
α = 90.00°, β = 90.00°, γ = 90.00°
Space group P4mm (No. 99)
Symmetry-distinct sites (fractional):
Er1 0.0000 0.0000 0.0000
Tm1 0.0000 0.0000 0.5956
Mg1 0.5000 0.5000 0.2989
Ni1 0.5000 0.5000 0.7956

20.
The following is a DFT calculation (GGA-PBE) of a relaxed Er2MgZn2Ni5 crystal.

Computed properties:
energy relative to the elements: -0.27 eV/atom
theoretical density: 8.4 g/cm3

a = 9.2686 Å, b = 9.2686 Å, c = 3.6182 Å
α = 90.00°, β = 90.00°, γ = 90.00°
Space group P4/mbm (No. 127)
Symmetry-distinct sites (fractional):
Er1 0.1789 0.3211 0.0000
Mg1 0.0000 0.0000 0.0000
Zn1 0.1171 0.6171 0.0000
Ni1 0.0000 0.5000 0.5000
Ni2 0.0642 0.7879 0.5000

21.
The following is a DFT calculation (GGA-PBE) of a relaxed ErMgZnNi crystal.

Computed properties:
energy relative to the elements: -0.27 eV/atom
theoretical density: 7.2 g/cm3

a = 6.6153 Å, b = 6.6153 Å, c = 6.6153 Å
α = 90.00°, β = 90.00°, γ = 90.00°
Space group F-43m (No. 216)
Symmetry-distinct sites (fractional):
Er1 0.0000 0.0000 0.0000
Mg1 0.0000 0.0000 0.5000
Zn1 0.2500 0.2500 0.2500
Ni1 0.2500 0.2500 0.7500

22.
The following is a DFT calculation (GGA-PBE) of a relaxed Er2MgZn12Ni3 crystal.

Computed properties:
energy relative to the elements: 0.20 eV/atom
theoretical density: 6.1 g/cm3

a = 8.5436 Å, b = 8.5436 Å, c = 17.1149 Å
α = 90.00°, β = 90.00°, γ = 120.00°
Space group R-3m (No. 166, hexagonal axes)
Symmetry-distinct sites (fractional):
Er1 0.0000 0.0000 0.0929
Mg1 0.0000 0.0000 0.5000
Zn1 0.0299 0.5150 0.8643
Zn2 0.0334 0.5167 0.3089
Ni1 0.0000 0.5000 0.0000

23.
The following is a DFT calculation (GGA-PBE) of a relaxed ErMgNp crystal.

Computed properties:
energy relative to the elements: 0.20 eV/atom
theoretical density: 9.4 g/cm3

a = 16.6381 Å, b = 3.4801 Å, c = 5.3054 Å
α = 90.00°, β = 99.75°, γ = 90.00°
Space group C2/m (No. 12)
Symmetry-distinct sites (fractional):
Er1 0.0996 0.0000 0.2490
Mg1 0.0720 0.5000 0.7399
Np1 0.2387 0.0000 0.8429